(1)
LiHfTc2C | GGA-PBEsol | optimized geometry

Calculated total energy, eV per atom: -5.95
Space-group type: P4/mmm, No. 123

abc: 4.622 4.622 4.776
angles: 90.00 90.00 90.00
Fractional coordinates of all 5 atoms:
Li  0.000  0.000  0.000
Hf  0.000  0.000  0.500
Tc  0.000  0.500  0.500
Tc  0.500  0.000  0.500
C  0.500  0.500  0.000

(2)
Hf3MgC | GGA-PBEsol | optimized geometry

Calculated total energy, eV per atom: -8.92
Space-group type: Pm-3m, No. 221

abc: 4.489 4.489 4.489
angles: 90.00 90.00 90.00
Fractional coordinates of all 5 atoms:
Hf  0.000  0.000  0.500
Hf  0.000  0.500  0.000
Hf  0.500  0.000  0.000
Mg  0.500  0.500  0.500
C  0.000  0.000  0.000

(3)
HfMgOs2C | GGA-PBEsol | optimized geometry

Calculated total energy, eV per atom: -9.23
Space-group type: P4/mmm, No. 123

abc: 4.082 4.082 4.332
angles: 90.00 90.00 90.00
Fractional coordinates of all 5 atoms:
Hf  0.000  0.000  0.000
Mg  0.500  0.500  0.000
Os  0.000  0.500  0.500
Os  0.500  0.000  0.500
C  0.000  0.000  0.500

(4)
Hf3MoC | GGA-PBEsol | optimized geometry

Calculated total energy, eV per atom: -10.79
Space-group type: Pm-3m, No. 221

abc: 4.415 4.415 4.415
angles: 90.00 90.00 90.00
Fractional coordinates of all 5 atoms:
Hf  0.000  0.000  0.500
Hf  0.000  0.500  0.000
Hf  0.500  0.000  0.000
Mo  0.500  0.500  0.500
C  0.000  0.000  0.000

(5)
Hf2MoPbC | GGA-PBEsol | optimized geometry

Calculated total energy, eV per atom: -6.13
Space-group type: P4/mmm, No. 123

abc: 5.221 5.221 4.945
angles: 90.00 90.00 90.00
Fractional coordinates of all 5 atoms:
Hf  0.000  0.500  0.000
Hf  0.500  0.000  0.000
Mo  0.000  0.000  0.500
Pb  0.000  0.000  0.000
C  0.500  0.500  0.500

(6)
HfMoRhC2 | GGA-PBEsol | optimized geometry

Calculated total energy, eV per atom: -7.45
Space-group type: P4/mmm, No. 123

abc: 4.078 4.078 4.972
angles: 90.00 90.00 90.00
Fractional coordinates of all 5 atoms:
Hf  0.000  0.000  0.000
Mo  0.000  0.000  0.500
Rh  0.500  0.500  0.500
C  0.000  0.500  0.000
C  0.500  0.000  0.000

(7)
SrHf2MoC | GGA-PBEsol | optimized geometry

Calculated total energy, eV per atom: -7.70
Space-group type: P4/mmm, No. 123

abc: 5.138 5.138 4.214
angles: 90.00 90.00 90.00
Fractional coordinates of all 5 atoms:
Sr  0.000  0.000  0.000
Hf  0.000  0.500  0.500
Hf  0.500  0.000  0.500
Mo  0.500  0.500  0.500
C  0.500  0.500  0.000

(8)
Hf2CN | GGA-PBEsol | optimized geometry

Calculated total energy, eV per atom: -11.36
Space-group type: R-3m, No. 166

abc: 5.578 5.578 5.578
angles: 33.52 33.52 33.52
Fractional coordinates of all 4 atoms:
Hf  0.249  0.249  0.249
Hf  0.751  0.751  0.751
C  0.500  0.500  0.500
N  0.000  0.000  0.000

(9)
Hf4CN3 | GGA-PBEsol | optimized geometry

Calculated total energy, eV per atom: -11.43
Space-group type: R-3m, No. 166

abc: 10.596 10.596 10.596
angles: 17.36 17.36 17.36
Fractional coordinates of all 8 atoms:
Hf  0.125  0.125  0.125
Hf  0.374  0.374  0.374
Hf  0.626  0.626  0.626
Hf  0.875  0.875  0.875
C  0.500  0.500  0.500
N  0.000  0.000  0.000
N  0.251  0.251  0.251
N  0.749  0.749  0.749

(10)
HfNbCN | GGA-PBEsol | optimized geometry

Calculated total energy, eV per atom: -11.09
Space-group type: R3m, No. 160

abc: 5.530 5.530 5.530
angles: 33.30 33.30 33.30
Fractional coordinates of all 4 atoms:
Hf  0.000  0.000  0.000
Nb  0.496  0.496  0.496
C  0.749  0.749  0.749
N  0.249  0.249  0.249

(11)
Hf2SnCN | GGA-PBEsol | optimized geometry

Calculated total energy, eV per atom: -8.02
Space-group type: P4/mmm, No. 123

abc: 4.245 4.245 4.616
angles: 90.00 90.00 90.00
Fractional coordinates of all 5 atoms:
Hf  0.000  0.500  0.000
Hf  0.500  0.000  0.000
Sn  0.000  0.000  0.500
C  0.500  0.500  0.500
N  0.000  0.000  0.000

(12)
HfTaCN | GGA-PBEsol | optimized geometry

Calculated total energy, eV per atom: -11.57
Space-group type: R3m, No. 160

abc: 5.501 5.501 5.501
angles: 33.38 33.38 33.38
Fractional coordinates of all 4 atoms:
Hf  0.000  0.000  0.000
Ta  0.505  0.505  0.505
C  0.250  0.250  0.250
N  0.754  0.754  0.754